The following is a DFT calculation (PBE-GGA) of an optimized crystal structure of BaZrCo4.

Properties
SG: No. 216
ΔH_f (0 K): 202 kJ/mol of formula units
N(E_F): 10.9 states/eV/f.u.

Unit cell a=5.137 b=5.137 c=5.137 alpha=60.00 beta=60.00 gamma=60.00
Sites, in units of the cell vectors:
Zr 0.750 0.750 0.750
Ba 0.000 0.000 0.000
Co 0.868 0.377 0.377
Co 0.377 0.377 0.868
Co 0.377 0.377 0.377
Co 0.377 0.868 0.377


The following is a DFT calculation (PBE-GGA) of an optimized crystal structure of Sc2CoPt.

Properties
SG: No. 25
ΔH_f (0 K): -201 kJ/mol of formula units
N(E_F): 2.9 states/eV/f.u.

Unit cell a=3.100 b=4.107 c=5.500 alpha=90.00 beta=90.00 gamma=90.00
Sites, in units of the cell vectors:
Pt 0.500 0.500 0.793
Sc 0.000 0.000 0.953
Sc 0.500 0.500 0.312
Co 0.000 0.000 0.442


The following is a DFT calculation (PBE-GGA) of an optimized crystal structure of Mg6MnGa.

Properties
SG: No. 38
ΔH_f (0 K): 42 kJ/mol of formula units
N(E_F): 3.7 states/eV/f.u.

Unit cell a=6.148 b=6.148 c=4.944 alpha=90.00 beta=90.00 gamma=120.38
Sites, in units of the cell vectors:
Mg 0.672 0.328 0.000
Mg 0.334 0.168 0.500
Mg 0.832 0.666 0.500
Mg 0.669 0.840 0.000
Mg 0.160 0.331 0.000
Mg 0.171 0.829 0.000
Mn 0.831 0.169 0.500
Ga 0.332 0.668 0.500


The following is a DFT calculation (PBE-GGA) of an optimized crystal structure of NaSrTbSeO6.

Properties
SG: No. 216
N(E_F): 0.0 states/eV/f.u.
energy relative to the elements, uncorrected: -2.017 eV/atom

Unit cell a=5.704 b=5.704 c=5.704 alpha=60.00 beta=60.00 gamma=60.00
Sites, in units of the cell vectors:
O 0.226 0.774 0.774
O 0.226 0.226 0.774
O 0.774 0.226 0.226
O 0.226 0.774 0.226
O 0.774 0.774 0.226
O 0.774 0.226 0.774
Sr 0.750 0.750 0.750
Tb 0.500 0.500 0.500
Se 0.000 0.000 0.000
Na 0.250 0.250 0.250


Q: The highest N(E_F) belongs to which entry?
A: BaZrCo4


Q: What is the formula in the third record?
A: Mg6MnGa


Q: Among the records above, which one has the lowest N(E_F)?
A: NaSrTbSeO6


Q: Among the records above, which one has the highest N(E_F)?
A: BaZrCo4